1.
# RuRhCl2 (PBEsol, optimized geometry)
# crystal system = monoclinic
# ΔE_f (raw) = 17 kJ/mol of atoms
# total energy = -5.401 eV/atom
# energy above the lowest structure with this stoichiometry = 51 meV/atom
# V = 147.6 Å³/cell
data_RuRhCl2
_chemical_formula_sum 'Ru2 Rh2 Cl4'
_space_group_name_H-M_alt 'C 1 2/m 1'
_space_group_IT_number 12
_cell_length_a 10.949
_cell_length_b 2.922
_cell_length_c 4.658
_cell_angle_alpha 90.00
_cell_angle_beta 97.96
_cell_angle_gamma 90.00
loop_
_space_group_symop_operation_xyz
'x,y,z'
'-x,-y,-z'
'-x,y,-z'
'x,-y,z'
'x+1/2,y+1/2,z'
'-x+1/2,-y+1/2,-z'
'-x+1/2,y+1/2,-z'
'x+1/2,-y+1/2,z'
loop_
_atom_site_label
_atom_site_type_symbol
_atom_site_fract_x
_atom_site_fract_y
_atom_site_fract_z
Ru1 Ru 0.000 0.000 0.000
Rh1 Rh 0.000 0.500 0.500
Cl1 Cl 0.151 0.500 0.215

2.
# RuRhCl (PBEsol, optimized geometry)
# crystal system = cubic
# ΔE_f (raw) = 97 kJ/mol of atoms
# total energy = -5.765 eV/atom
# V = 174.0 Å³/cell
data_RuRhCl
_chemical_formula_sum 'Ru4 Rh4 Cl4'
_space_group_name_H-M_alt 'F -4 3 m'
_space_group_IT_number 216
_space_group_name_Hall 'F -4 2 3'
_cell_length_a 5.583
_cell_length_b 5.583
_cell_length_c 5.583
_cell_angle_alpha 90.00
_cell_angle_beta 90.00
_cell_angle_gamma 90.00
loop_
_atom_site_label
_atom_site_type_symbol
_atom_site_fract_x
_atom_site_fract_y
_atom_site_fract_z
Ru1 Ru 0.000 0.000 0.000
Rh1 Rh 0.000 0.000 0.500
Cl1 Cl 0.250 0.250 0.750

3.
# RuRhCl2 (PBEsol, optimized geometry)
# crystal system = trigonal
# ΔE_f (raw) = 13 kJ/mol of atoms
# total energy = -5.452 eV/atom
# energy above the lowest structure with this stoichiometry = 0 meV/atom
# V = 198.3 Å³/cell
data_RuRhCl2
_chemical_formula_sum 'Ru3 Rh3 Cl6'
_space_group_name_H-M_alt 'R 3 m'
_space_group_IT_number 160
_space_group_name_Hall 'R 3 -2"'
_cell_length_a 2.9645
_cell_length_b 2.9645
_cell_length_c 26.0585
_cell_angle_alpha 90.00
_cell_angle_beta 90.00
_cell_angle_gamma 120.00
loop_
_atom_site_label
_atom_site_type_symbol
_atom_site_fract_x
_atom_site_fract_y
_atom_site_fract_z
Ru1 Ru 0.0000 0.0000 0.0000
Rh1 Rh 0.0000 0.0000 0.2587
Cl1 Cl 0.0000 0.0000 0.5230
Cl2 Cl 0.0000 0.0000 0.7345

4.
# SnRhSCl2 (PBEsol, optimized geometry)
# crystal system = tetragonal
# ΔE_f (raw) = -26 kJ/mol of atoms
# total energy = -4.426 eV/atom
# V = 102.1 Å³/cell
data_SnRhSCl2
_chemical_formula_sum 'Sn1 Rh1 S1 Cl2'
_space_group_name_H-M_alt 'P 4/m m m'
_space_group_IT_number 123
_space_group_name_Hall '-P 4 2'
_cell_length_a 4.652
_cell_length_b 4.652
_cell_length_c 4.719
_cell_angle_alpha 90.00
_cell_angle_beta 90.00
_cell_angle_gamma 90.00
loop_
_atom_site_label
_atom_site_type_symbol
_atom_site_fract_x
_atom_site_fract_y
_atom_site_fract_z
Sn1 Sn 0.000 0.000 0.000
Rh1 Rh 0.500 0.500 0.500
S1 S 0.500 0.500 0.000
Cl1 Cl 0.000 0.500 0.500

5.
# TiRhSCl2 (PBEsol, optimized geometry)
# crystal system = tetragonal
# ΔE_f (raw) = 3 kJ/mol of atoms
# total energy = -4.940 eV/atom
# V = 98.1 Å³/cell
data_TiRhSCl2
_chemical_formula_sum 'Ti1 Rh1 S1 Cl2'
_space_group_name_H-M_alt 'P 4/m m m'
_space_group_IT_number 123
_space_group_name_Hall '-P 4 2'
_cell_length_a 4.569
_cell_length_b 4.569
_cell_length_c 4.698
_cell_angle_alpha 90.00
_cell_angle_beta 90.00
_cell_angle_gamma 90.00
loop_
_atom_site_label
_atom_site_type_symbol
_atom_site_fract_x
_atom_site_fract_y
_atom_site_fract_z
Ti1 Ti 0.000 0.000 0.000
Rh1 Rh 0.500 0.500 0.500
S1 S 0.500 0.500 0.000
Cl1 Cl 0.000 0.500 0.500

6.
# YRhS2Cl (PBEsol, optimized geometry)
# crystal system = tetragonal
# ΔE_f (raw) = -1 kJ/mol of atoms
# total energy = -5.155 eV/atom
# V = 133.1 Å³/cell
data_YRhS2Cl
_chemical_formula_sum 'Y1 Rh1 S2 Cl1'
_space_group_name_H-M_alt 'P 4/m m m'
_space_group_IT_number 123
_space_group_name_Hall '-P 4 2'
_cell_length_a 5.167
_cell_length_b 5.167
_cell_length_c 4.987
_cell_angle_alpha 90.00
_cell_angle_beta 90.00
_cell_angle_gamma 90.00
loop_
_atom_site_label
_atom_site_type_symbol
_atom_site_fract_x
_atom_site_fract_y
_atom_site_fract_z
Y1 Y 0.000 0.000 0.000
Rh1 Rh 0.500 0.500 0.500
S1 S 0.000 0.500 0.000
Cl1 Cl 0.000 0.000 0.500